(1)
{"formula": "DyZnCdIr", "functional": "PBE", "state": "optimized geometry", "spacegroup": "No. 216", "energy_ev_per_atom": -4.20, "formation_enthalpy_0k_mev_per_atom": -286, "cell": [[-3.6044, -3.1356, 0.1615], [-0.8058, -2.9083, -3.7071], [0.9152, -4.6757, 0.3873]], "species": ["Cd", "Zn", "Ir", "Dy"], "frac_coords": [[0.2500, 0.2500, 0.2500], [0.0000, 0.0000, 0.0000], [0.5000, 0.5000, 0.5000], [0.7500, 0.7500, 0.7500]]}

(2)
{"formula": "KDyCd4", "functional": "PBE", "state": "optimized geometry", "spacegroup": "No. 216", "energy_ev_per_atom": -1.61, "formation_enthalpy_0k_mev_per_atom": -54, "cell": [[6.0750, 0.0000, 0.0000], [3.0375, 5.2611, 0.0000], [3.0375, 1.7537, 4.9602]], "species": ["Cd", "Cd", "Cd", "Dy", "Cd", "K"], "frac_coords": [[0.6255, 0.1236, 0.6255], [0.6255, 0.6255, 0.6255], [0.6255, 0.6255, 0.1236], [0.0000, 0.0000, 0.0000], [0.1236, 0.6255, 0.6255], [0.2500, 0.2500, 0.2500]]}

The records above yield size of the total moment values of 0.0, 0.0 μB/f.u., respectively.